[1]
Sr2ZrHg | GGA-PBE | optimized geometry

POSCAR file:
```
Sr2ZrHg
1.0
3.618 -4.905 0.000
3.618 4.905 0.000
0.000 0.000 3.630
Sr Zr Hg
2 1 1
Cartesian
1.809 2.453 0.000 Sr
1.809 -2.453 0.000 Sr
0.000 0.000 1.815 Zr
3.618 0.000 1.815 Hg
```

Output
- SG = Cmmm, No. 65
- calculated formation energy (meV/atom) = 241
- DOS at the Fermi energy (states/eV/f.u.) = 5.5

***

[2]
CuIrPb | GGA-PBE | optimized geometry

POSCAR file:
```
CuIrPb
1.0
-1.695 1.695 4.547
1.695 -1.695 4.547
1.695 1.695 -4.547
Cu Ir Pb
1 1 1
Cartesian
0.000 0.000 0.000 Cu
0.000 0.000 5.762 Ir
0.000 0.000 2.875 Pb
```

Output
- SG = I4mm, No. 107
- calculated formation energy (meV/atom) = 385
- energy above the most stable polymorph in this dataset (meV/atom) = 39
- DOS at the Fermi energy (states/eV/f.u.) = 1.7

***

[3]
BaTa2Al | GGA-PBE | optimized geometry

POSCAR file:
```
BaTa2Al
1.0
4.451 0.000 0.000
0.000 4.451 0.000
0.000 0.000 4.477
Ba Ta Al
1 2 1
Cartesian
0.000 0.000 0.000 Ba
0.000 2.225 2.239 Ta
2.225 0.000 2.239 Ta
2.225 2.225 0.000 Al
```

Output
- SG = P4/mmm, No. 123
- calculated formation energy (meV/atom) = 1044
- DOS at the Fermi energy (states/eV/f.u.) = 4.6